# Pr2Er2Hg3 PBE optimized geometry
data_Pr2Er2Hg3
_cell_length_a 5.2163
_cell_length_b 5.2163
_cell_length_c 26.0358
_cell_angle_alpha 90.00
_cell_angle_beta 90.00
_cell_angle_gamma 120.00
_symmetry_space_group_name_H-M 'R -3 m'
_symmetry_Int_Tables_number 166
_symmetry_space_group_name_Hall '-R 3 2"'
loop_
_atom_site_label
_atom_site_type_symbol
_atom_site_fract_x
_atom_site_fract_y
_atom_site_fract_z
_atom_site_occupancy
Pr1 Pr 0.0000 0.0000 0.1273 1
Er1 Er 0.0000 0.0000 0.3762 1
Hg1 Hg 0.0000 0.0000 0.0000 1
Hg2 Hg 0.0000 0.0000 0.2543 1
# **Magnetization**: 2.90 Bohr magnetons per cell
# **Energy of formation from the pure elements**: -2.2 eV/f.u.
# **Volume**: 29.213 Å³ per atom
# **E_tot**: -65.5 eV/cell